SiC3 (PBE, optimized geometry); ΔE to the lowest computed polymorph = 0.006 eV per atom; formation energy (no corrections) = 195 kJ/mol of formula units
1.0
2.8034 0.0000 0.0000
0.0000 2.8034 0.0000
0.0000 0.0000 4.1120
Si C
1 3
direct
0.0000 0.0000 0.0000 Si
0.0000 0.5000 0.2881 C
0.5000 0.0000 0.7119 C
0.5000 0.5000 0.5000 C



Pm12HoMg3 (PBE, optimized geometry); calculated formation energy = 7.3 kJ/mol of formula units
1.0
5.0248 0.0000 0.0000
0.0000 5.0248 0.0000
0.0000 0.0000 20.2638
Pm Ho Mg
12 1 3
direct
0.0000 0.0000 0.0000 Pm
0.0000 0.0000 0.2470 Pm
0.0000 0.0000 0.5000 Pm
0.0000 0.0000 0.7530 Pm
0.0000 0.5000 0.1236 Pm
0.0000 0.5000 0.3722 Pm
0.0000 0.5000 0.6278 Pm
0.0000 0.5000 0.8764 Pm
0.5000 0.0000 0.1236 Pm
0.5000 0.0000 0.3722 Pm
0.5000 0.0000 0.6278 Pm
0.5000 0.0000 0.8764 Pm
0.5000 0.5000 0.5000 Ho
0.5000 0.5000 0.0000 Mg
0.5000 0.5000 0.2460 Mg
0.5000 0.5000 0.7540 Mg



NaCuH3 (PBE, optimized geometry); ΔE to the lowest computed polymorph = 0.090 eV per atom
1.0
2.3365 1.3490 4.8993
-2.3365 1.3490 4.8993
0.0000 -2.6979 4.8993
Na Cu H
2 2 6
direct
0.1132 0.1132 0.1132 Na
0.8868 0.8868 0.8868 Na
0.3302 0.3302 0.3302 Cu
0.6698 0.6698 0.6698 Cu
0.0776 0.5722 0.5722 H
0.4278 0.4278 0.9224 H
0.4278 0.9224 0.4278 H
0.5722 0.0776 0.5722 H
0.5722 0.5722 0.0776 H
0.9224 0.4278 0.4278 H



PaTcAsN (PBE, optimized geometry); formation energy (no corrections) = -405 kJ/mol of formula units
1.0
4.0268 0.0000 0.0000
0.0000 4.0268 0.0000
0.0000 0.0000 8.1368
Pa Tc As N
2 2 2 2
direct
0.2500 0.2500 0.1412 Pa
0.7500 0.7500 0.8588 Pa
0.2500 0.7500 0.5000 Tc
0.7500 0.2500 0.5000 Tc
0.2500 0.2500 0.6773 As
0.7500 0.7500 0.3227 As
0.2500 0.7500 0.0000 N
0.7500 0.2500 0.0000 N



For reference, spin magnetization by record: 0.00 0.00 0.00 0.43 μB per formula unit.
For reference, raw total energy by record: -31.08 -66.29 -30.78 -74.06 eV/cell.
For reference, Fermi-level density of states by record: 0.0 26.2 1.3 8.2 states/eV/cell.